# 1
VASP calculation (PBE) on crystalline K4NaCd4 at its relaxed geometry.

Unit cell a=6.775 b=9.269 c=6.775 alpha=68.56 beta=90.00 gamma=111.44
Atoms (fractional coordinates):
K: 0.057 0.656 0.401
K: 0.599 0.656 0.943
K: 0.401 0.344 0.599
K: 0.943 0.344 0.057
Na: 0.000 0.000 0.000
Cd: 0.377 0.123 0.254
Cd: 0.746 0.123 0.623
Cd: 0.254 0.877 0.746
Cd: 0.623 0.877 0.377

Properties
Its crystal system is tetragonal. Its formation energy is 0.031 eV/atom. The value obtained for the density of states at the Fermi level is 0.564 states/eV/atom.

=====

# 2
VASP calculation (PBE) on crystalline K3Na3Cd8 at its relaxed geometry.

Unit cell a=5.150 b=10.022 c=10.022 alpha=64.68 beta=75.11 gamma=75.11
Atoms (fractional coordinates):
K: 0.500 0.500 0.500
K: 0.800 0.200 0.200
K: 0.200 0.800 0.800
Na: 0.500 0.000 0.000
Na: 0.000 0.775 0.225
Na: 0.000 0.225 0.775
Cd: 0.642 0.082 0.633
Cd: 0.358 0.918 0.367
Cd: 0.642 0.633 0.082
Cd: 0.358 0.367 0.918
Cd: 0.823 0.817 0.537
Cd: 0.177 0.183 0.463
Cd: 0.823 0.537 0.817
Cd: 0.177 0.463 0.183

Properties
Its crystal system is orthorhombic. Its formation energy is -0.074 eV/atom. The value obtained for the density of states at the Fermi level is 0.526 states/eV/atom.

=====

# 3
VASP calculation (PBE) on crystalline KNa3Cd2 at its relaxed geometry.

Unit cell a=5.663 b=5.663 c=14.542 alpha=90.00 beta=90.00 gamma=120.00
Atoms (fractional coordinates):
K: 0.000 0.000 0.250
K: 0.000 0.000 0.750
Na: 0.000 0.000 0.500
Na: 0.000 0.000 0.000
Na: 0.667 0.333 0.587
Na: 0.333 0.667 0.087
Na: 0.667 0.333 0.913
Na: 0.333 0.667 0.413
Cd: 0.667 0.333 0.358
Cd: 0.333 0.667 0.642
Cd: 0.333 0.667 0.858
Cd: 0.667 0.333 0.142

Properties
Its crystal system is hexagonal. For the energy above the most stable polymorph in this dataset, the calculation gives 2.3 kJ per mole of atoms. Its formation energy is -0.029 eV/atom. The value obtained for the density of states at the Fermi level is 0.474 states/eV/atom.

=====

# 4
VASP calculation (PBE) on crystalline K5Na4Cd2 at its relaxed geometry.

Unit cell a=4.634 b=10.187 c=12.549 alpha=78.92 beta=100.64 gamma=90.00
Atoms (fractional coordinates):
K: 0.796 0.182 0.593
K: 0.204 0.818 0.407
K: 0.874 0.770 0.748
K: 0.500 0.000 0.000
K: 0.126 0.230 0.252
Na: 0.361 0.446 0.723
Na: 0.968 0.357 0.936
Na: 0.639 0.554 0.277
Na: 0.032 0.643 0.064
Cd: 0.226 0.444 0.453
Cd: 0.774 0.556 0.547

Properties
Its crystal system is monoclinic. For the energy above the most stable polymorph in this dataset, the calculation gives 0.0 kJ per mole of atoms. Its formation energy is 0.017 eV/atom. The value obtained for the density of states at the Fermi level is 0.612 states/eV/atom.

=====

# 5
VASP calculation (PBE) on crystalline KNaCd6 at its relaxed geometry.

Unit cell a=5.008 b=6.071 c=7.203 alpha=90.00 beta=90.00 gamma=90.00
Atoms (fractional coordinates):
K: 0.000 0.654 0.000
Na: 0.500 0.374 0.500
Cd: 0.500 0.868 0.295
Cd: 0.000 0.170 0.731
Cd: 0.000 0.170 0.269
Cd: 0.500 0.868 0.705
Cd: 0.000 0.693 0.500
Cd: 0.500 0.205 0.000

Properties
Its crystal system is orthorhombic. Its formation energy is -0.045 eV/atom. The value obtained for the density of states at the Fermi level is 0.397 states/eV/atom.

=====

# 6
VASP calculation (PBE) on crystalline K2Na4Cd at its relaxed geometry.

Unit cell a=5.955 b=5.955 c=10.580 alpha=73.65 beta=73.65 gamma=90.00
Atoms (fractional coordinates):
Na: 0.842 0.842 0.317
Na: 0.158 0.158 0.683
Na: 0.000 0.500 0.000
Na: 0.500 0.000 0.000
K: 0.639 0.639 0.722
K: 0.361 0.361 0.278
Cd: 0.000 0.000 0.000

Properties
Its crystal system is tetragonal. For the energy above the most stable polymorph in this dataset, the calculation gives 5.1 kJ per mole of atoms. Its formation energy is 0.069 eV/atom. The value obtained for the density of states at the Fermi level is 0.636 states/eV/atom.

=====

# 7
VASP calculation (PBE) on crystalline K2Na5Cd4 at its relaxed geometry.

Unit cell a=6.733 b=8.180 c=8.256 alpha=75.07 beta=65.94 gamma=65.70
Atoms (fractional coordinates):
K: 0.297 0.700 0.706
K: 0.703 0.300 0.294
Na: 0.250 0.181 0.817
Na: 0.750 0.819 0.183
Na: 0.000 0.500 0.500
Na: 0.752 0.181 0.817
Na: 0.248 0.819 0.183
Cd: 0.245 0.097 0.412
Cd: 0.755 0.903 0.588
Cd: 0.752 0.597 0.898
Cd: 0.248 0.403 0.102

Properties
Its crystal system is monoclinic. Its formation energy is -0.027 eV/atom. The value obtained for the density of states at the Fermi level is 0.478 states/eV/atom.

=====

# 8
VASP calculation (PBE) on crystalline K3NaCd at its relaxed geometry.

Unit cell a=5.160 b=14.223 c=14.223 alpha=90.00 beta=90.00 gamma=90.00
Atoms (fractional coordinates):
K: 0.500 0.676 0.021
K: 0.000 0.176 0.479
K: 0.000 0.824 0.521
K: 0.000 0.884 0.884
K: 0.000 0.479 0.176
K: 0.500 0.616 0.384
K: 0.000 0.116 0.116
K: 0.500 0.324 0.979
K: 0.500 0.021 0.676
K: 0.000 0.521 0.824
K: 0.500 0.979 0.324
K: 0.500 0.384 0.616
Na: 0.500 0.315 0.315
Na: 0.000 0.815 0.185
Na: 0.500 0.685 0.685
Na: 0.000 0.185 0.815
Cd: 0.500 0.926 0.074
Cd: 0.000 0.574 0.574
Cd: 0.500 0.074 0.926
Cd: 0.000 0.426 0.426

Properties
Its crystal system is tetragonal. For the energy above the most stable polymorph in this dataset, the calculation gives 0.6 kJ per mole of atoms. Its formation energy is -0.010 eV/atom. The value obtained for the density of states at the Fermi level is 0.672 states/eV/atom.

=====

# 9
VASP calculation (PBE) on crystalline KNaCd5 at its relaxed geometry.

Unit cell a=6.267 b=9.656 c=12.796 alpha=90.00 beta=90.00 gamma=90.00
Atoms (fractional coordinates):
K: 0.250 0.243 0.940
K: 0.750 0.257 0.440
K: 0.250 0.743 0.560
K: 0.750 0.757 0.060
Na: 0.250 0.876 0.860
Na: 0.750 0.624 0.360
Na: 0.250 0.376 0.640
Na: 0.750 0.124 0.140
Cd: 0.250 0.608 0.025
Cd: 0.750 0.892 0.525
Cd: 0.250 0.108 0.475
Cd: 0.750 0.392 0.975
Cd: 0.750 0.327 0.738
Cd: 0.250 0.173 0.238
Cd: 0.750 0.827 0.762
Cd: 0.250 0.673 0.262
Cd: 0.250 0.917 0.109
Cd: 0.750 0.583 0.609
Cd: 0.250 0.417 0.391
Cd: 0.750 0.083 0.891
Cd: 0.990 0.426 0.177
Cd: 0.010 0.074 0.677
Cd: 0.510 0.926 0.323
Cd: 0.490 0.574 0.823
Cd: 0.010 0.574 0.823
Cd: 0.990 0.926 0.323
Cd: 0.490 0.074 0.677
Cd: 0.510 0.426 0.177

Properties
Its crystal system is orthorhombic. Its formation energy is -0.091 eV/atom. The value obtained for the density of states at the Fermi level is 0.497 states/eV/atom.

=====

# 10
VASP calculation (PBE) on crystalline KNa2Cd9 at its relaxed geometry.

Unit cell a=6.047 b=6.047 c=10.487 alpha=73.24 beta=73.24 gamma=60.00
Atoms (fractional coordinates):
K: 0.000 0.000 0.000
Na: 0.855 0.855 0.435
Na: 0.145 0.145 0.565
Cd: 0.666 0.666 0.002
Cd: 0.334 0.334 0.998
Cd: 0.500 0.500 0.500
Cd: 0.411 0.411 0.258
Cd: 0.920 0.411 0.258
Cd: 0.411 0.920 0.258
Cd: 0.589 0.589 0.742
Cd: 0.589 0.080 0.742
Cd: 0.080 0.589 0.742

Properties
Its crystal system is trigonal. Its formation energy is -0.094 eV/atom. The value obtained for the density of states at the Fermi level is 0.404 states/eV/atom.